1.
Density functional theory data (PBE) for crystalline RbNb3Ru at its relaxed geometry.

Values from the calculation:
The value obtained for the total energy is -6.797 eV per atom.

Cell: 4.997 4.997 4.997 Å, 90.00 90.00 90.00°
Space group Pm-3m (No. 221)
Inequivalent atoms, fractional coordinates:
1 Rb 0.000 0.000 0.000 x1
2 Nb 0.000 0.500 0.500 x3
3 Ru 0.500 0.500 0.500 x1

2.
Density functional theory data (PBE) for crystalline SrBiP3 at its relaxed geometry.

Values from the calculation:
The value obtained for the total energy is -3.154 eV per atom.

Cell: 5.363 5.363 5.363 Å, 90.00 90.00 90.00°
Space group Pm-3m (No. 221)
Inequivalent atoms, fractional coordinates:
1 Sr 0.000 0.000 0.000 x1
2 Bi 0.500 0.500 0.500 x1
3 P 0.000 0.000 0.500 x3